Computed, not measured: an optimized crystal structure of Hf2Ga2Bi at the PBE level of DFT.

It has space group P4/mbm (No. 127), with a = 7.8605 Å, b = 7.8605 Å, c = 3.4925 Å, α = 90.00°, β = 90.00° and γ = 90.00°. Symmetry generates all atoms from Hf at (0.1367, 0.3633, 0.0000), Ga at (0.1646, 0.6646, 0.5000) and Bi at (0.0000, 0.0000, 0.0000).

Its theoretical density is 10.86 g/cm3. The total magnetization is 0.00 μB/atom. The value obtained for the energy of formation from the pure elements is -0.55 eV/f.u. For the energy above the most stable polymorph in this dataset, the calculation gives 17.2 meV per atom.


Computed, not measured: an optimized crystal structure of Nd3Sm6Sc2 at the PBE level of DFT.

It has space group C2/m (No. 12), with a = 5.7812 Å, b = 12.1044 Å, c = 10.3439 Å, α = 90.00°, β = 90.04° and γ = 90.00°. Symmetry generates all atoms from Nd at (0.0000, 0.0000, 0.0000), Nd at (0.0000, 0.2949, 0.0000), Sm at (0.0008, 0.1508, 0.6829), Sm at (0.0010, 0.5000, 0.7857) and Sc at (0.0000, 0.3727, 0.5000).

Its theoretical density is 6.54 g/cm3. The total magnetization is 0.00 μB/atom. The value obtained for the energy of formation from the pure elements is 1.56 eV/f.u.


Computed, not measured: an optimized crystal structure of Na2LiIO4 at the PBE level of DFT.

It has space group I-4 (No. 82), with a = 5.3792 Å, b = 5.3792 Å, c = 8.4645 Å, α = 90.00°, β = 90.00° and γ = 90.00°. Symmetry generates all atoms from Na at (0.0000, 0.0000, 0.0000), Na at (0.0000, 0.5000, 0.2500), Li at (0.0000, 0.0000, 0.5000), I at (0.0000, 0.5000, 0.7500) and O at (0.1961, 0.7422, 0.6250).

Its theoretical density is 3.31 g/cm3. The total magnetization is 0.00 μB/atom.


Computed, not measured: an optimized crystal structure of CaNdAl6 at the PBE level of DFT.

It has space group Pmm2 (No. 25), with a = 4.4880 Å, b = 6.0482 Å, c = 6.2176 Å, α = 90.00°, β = 90.00° and γ = 90.00°. Symmetry generates all atoms from Ca at (0.0000, 0.0000, 0.0000), Nd at (0.5000, 0.5000, 0.2099), Al at (0.0000, 0.2463, 0.4697), Al at (0.0000, 0.5000, 0.8430), Al at (0.5000, 0.0000, 0.3696) and Al at (0.5000, 0.2548, 0.7381).

Its theoretical density is 3.41 g/cm3. The total magnetization is 0.00 μB/atom. The value obtained for the energy of formation from the pure elements is -2.39 eV/f.u.


Computed, not measured: an optimized crystal structure of CaCoSn2 at the PBE level of DFT.

It has space group R-3m (No. 166, hexagonal axes), with a = 4.3248 Å, b = 4.3248 Å, c = 17.1838 Å, α = 90.00°, β = 90.00° and γ = 120.00°. Symmetry generates all atoms from Ca at (0.0000, 0.0000, 0.0000), Co at (0.0000, 0.0000, 0.5000) and Sn at (0.0000, 0.0000, 0.2184).

Its theoretical density is 6.02 g/cm3. The total magnetization is 0.16 μB/atom. The value obtained for the energy of formation from the pure elements is -1.06 eV/f.u.


Computed, not measured: an optimized crystal structure of BaCoPb2 at the PBE level of DFT.

It has space group P4mm (No. 99), with a = 3.7304 Å, b = 3.7304 Å, c = 8.2009 Å, α = 90.00°, β = 90.00° and γ = 90.00°. Symmetry generates all atoms from Ba at (0.0000, 0.0000, 0.0000), Co at (0.5000, 0.5000, 0.3085), Pb at (0.0000, 0.0000, 0.4152) and Pb at (0.5000, 0.5000, 0.6754).

Its theoretical density is 8.89 g/cm3. The total magnetization is 0.32 μB/atom. The value obtained for the energy of formation from the pure elements is 0.78 eV/f.u.


Computed, not measured: an optimized crystal structure of Al2ReW at the PBE level of DFT.

It has space group C2/m (No. 12), with a = 5.4254 Å, b = 8.5324 Å, c = 2.7445 Å, α = 90.00°, β = 108.76° and γ = 90.00°. Symmetry generates all atoms from Al at (0.2500, 0.2500, 0.0000), Re at (0.0000, 0.0000, 0.5000) and W at (0.0000, 0.5000, 0.5000).

Its theoretical density is 11.71 g/cm3. The total magnetization is 0.00 μB/atom. The value obtained for the energy of formation from the pure elements is -0.10 eV/f.u. For the energy above the most stable polymorph in this dataset, the calculation gives 231.7 meV per atom.


Computed, not measured: an optimized crystal structure of PmNdS2 at the PBE level of DFT.

It has space group P-3m1 (No. 164), with a = 3.9081 Å, b = 3.9081 Å, c = 7.2934 Å, α = 90.00°, β = 90.00° and γ = 120.00°. Symmetry generates all atoms from Pm at (0.0000, 0.0000, 0.0000), Nd at (0.0000, 0.0000, 0.5000) and S at (0.3333, 0.6667, 0.2469).

Its theoretical density is 6.08 g/cm3. The total magnetization is 0.00 μB/atom. For the energy above the most stable polymorph in this dataset, the calculation gives 138.6 meV per atom.


Computed, not measured: an optimized crystal structure of CaSb at the PBE level of DFT.

It has space group R3m (No. 160, hexagonal axes), with a = 4.9032 Å, b = 4.9032 Å, c = 19.2573 Å, α = 90.00°, β = 90.00° and γ = 120.00°. Symmetry generates all atoms from Ca at (0.0000, 0.0000, 0.0000), Ca at (0.0000, 0.0000, 0.1784), Sb at (0.0000, 0.0000, 0.4272) and Sb at (0.0000, 0.0000, 0.5833).

Its theoretical density is 4.02 g/cm3. The total magnetization is 0.00 μB/atom.


Computed, not measured: an optimized crystal structure of PAu5 at the PBE level of DFT.

It has space group P-62m (No. 189), with a = 5.1716 Å, b = 5.1716 Å, c = 4.5987 Å, α = 90.00°, β = 90.00° and γ = 120.00°. Symmetry generates all atoms from P at (0.0000, 0.0000, 0.0000), Au at (0.0000, 0.6752, 0.5000) and Au at (0.3333, 0.6667, 0.0000).

Its theoretical density is 15.84 g/cm3. The total magnetization is 0.00 μB/atom. The value obtained for the energy of formation from the pure elements is 1.14 eV/f.u. For the energy above the most stable polymorph in this dataset, the calculation gives 38.3 meV per atom.


Computed, not measured: an optimized crystal structure of TeOsN2 at the PBE level of DFT.

It has space group R-3m (No. 166, hexagonal axes), with a = 3.1686 Å, b = 3.1686 Å, c = 19.5899 Å, α = 90.00°, β = 90.00° and γ = 120.00°. Symmetry generates all atoms from Te at (0.0000, 0.0000, 0.0000), Os at (0.0000, 0.0000, 0.5000) and N at (0.0000, 0.0000, 0.4018).

Its theoretical density is 10.11 g/cm3. The total magnetization is 0.00 μB/atom.


Computed, not measured: an optimized crystal structure of La2SiP at the PBE level of DFT.

It has space group Cmmm (No. 65), with a = 6.5508 Å, b = 7.8055 Å, c = 3.8011 Å, α = 90.00°, β = 90.00° and γ = 90.00°. Symmetry generates all atoms from La at (0.2500, 0.2500, 0.0000), Si at (0.0000, 0.0000, 0.5000) and P at (0.0000, 0.5000, 0.5000).

Its theoretical density is 5.76 g/cm3. The total magnetization is 0.00 μB/atom. For the energy above the most stable polymorph in this dataset, the calculation gives 361.7 meV per atom.


Computed, not measured: an optimized crystal structure of Tb3Pr2Sm2 at the PBE level of DFT.

It has space group C2/m (No. 12), with a = 16.9894 Å, b = 3.5261 Å, c = 8.8776 Å, α = 90.00°, β = 116.45° and γ = 90.00°. Symmetry generates all atoms from Tb at (0.0000, 0.0000, 0.0000), Tb at (0.2204, 0.0000, 0.1455), Pr at (0.0795, 0.0000, 0.7044) and Sm at (0.1395, 0.5000, 0.4067).

Its theoretical density is 7.39 g/cm3. The total magnetization is 0.00 μB/atom. The value obtained for the energy of formation from the pure elements is 0.88 eV/f.u. For the energy above the most stable polymorph in this dataset, the calculation gives 108.4 meV per atom.


Computed, not measured: an optimized crystal structure of Tc2TeCl at the PBE level of DFT.

It has space group C2/m (No. 12), with a = 6.1374 Å, b = 8.6764 Å, c = 3.0583 Å, α = 90.00°, β = 117.64° and γ = 90.00°. Symmetry generates all atoms from Tc at (0.2500, 0.2500, 0.0000), Te at (0.0000, 0.0000, 0.0000) and Cl at (0.0000, 0.5000, 0.0000).

Its theoretical density is 8.27 g/cm3. The total magnetization is 0.28 μB/atom. For the energy above the most stable polymorph in this dataset, the calculation gives 913.5 meV per atom.


Computed, not measured: an optimized crystal structure of MoPb at the PBE level of DFT.

It has space group R-3m (No. 166, hexagonal axes), with a = 4.2209 Å, b = 4.2209 Å, c = 20.4229 Å, α = 90.00°, β = 90.00° and γ = 120.00°. Symmetry generates all atoms from Mo at (0.0000, 0.0000, 0.1667) and Pb at (0.0000, 0.0000, 0.3994).

Its theoretical density is 9.58 g/cm3. The total magnetization is 0.00 μB/atom. The value obtained for the energy of formation from the pure elements is 1.33 eV/f.u. For the energy above the most stable polymorph in this dataset, the calculation gives 337.1 meV per atom.


Computed, not measured: an optimized crystal structure of LiIn5Pd at the PBE level of DFT.

It has space group P4/mmm (No. 123), with a = 4.6530 Å, b = 4.6530 Å, c = 7.4763 Å, α = 90.00°, β = 90.00° and γ = 90.00°. Symmetry generates all atoms from Li at (0.0000, 0.0000, 0.0000), In at (0.0000, 0.5000, 0.2871), In at (0.5000, 0.5000, 0.0000) and Pd at (0.0000, 0.0000, 0.5000).

Its theoretical density is 7.05 g/cm3. The total magnetization is 0.00 μB/atom. The value obtained for the energy of formation from the pure elements is -1.72 eV/f.u.


Computed, not measured: an optimized crystal structure of KBa2O2 at the PBE level of DFT.

It has space group I4/mmm (No. 139), with a = 4.8713 Å, b = 4.8713 Å, c = 15.3996 Å, α = 90.00°, β = 90.00° and γ = 90.00°. Symmetry generates all atoms from K at (0.0000, 0.0000, 0.0000), Ba at (0.0000, 0.0000, 0.3095) and O at (0.0000, 0.5000, 0.2500).

Its theoretical density is 3.14 g/cm3. The total magnetization is 0.00 μB/atom. For the energy above the most stable polymorph in this dataset, the calculation gives 9.1 meV per atom.


Computed, not measured: an optimized crystal structure of OsPdI2O at the PBE level of DFT.

It has space group P4/mmm (No. 123), with a = 5.4564 Å, b = 5.4564 Å, c = 3.7325 Å, α = 90.00°, β = 90.00° and γ = 90.00°. Symmetry generates all atoms from Os at (0.0000, 0.0000, 0.0000), Pd at (0.5000, 0.5000, 0.5000), I at (0.0000, 0.5000, 0.5000) and O at (0.5000, 0.5000, 0.0000).

Its theoretical density is 8.46 g/cm3. The total magnetization is 0.31 μB/atom. For the energy above the most stable polymorph in this dataset, the calculation gives 937.7 meV per atom.


Computed, not measured: an optimized crystal structure of Si2AgTe at the PBE level of DFT.

It has space group R3m (No. 160, hexagonal axes), with a = 3.7773 Å, b = 3.7773 Å, c = 19.9281 Å, α = 90.00°, β = 90.00° and γ = 120.00°. Symmetry generates all atoms from Si at (0.0000, 0.0000, 0.0000), Si at (0.0000, 0.0000, 0.2735), Ag at (0.0000, 0.0000, 0.5268) and Te at (0.0000, 0.0000, 0.7574).

Its theoretical density is 5.90 g/cm3. The total magnetization is 0.00 μB/atom. For the energy above the most stable polymorph in this dataset, the calculation gives 0.0 meV per atom.


Computed, not measured: an optimized crystal structure of Ba3NdAl8 at the PBE level of DFT.

It has space group R3m (No. 160, hexagonal axes), with a = 5.9458 Å, b = 5.9458 Å, c = 29.0614 Å, α = 90.00°, β = 90.00° and γ = 120.00°. Symmetry generates all atoms from Ba at (0.0000, 0.0000, 0.0000), Ba at (0.0000, 0.0000, 0.1231), Ba at (0.0000, 0.0000, 0.6251), Nd at (0.0000, 0.0000, 0.5001), Al at (0.0000, 0.0000, 0.3128), Al at (0.0000, 0.0000, 0.8118), Al at (0.0045, 0.5022, 0.0648) and Al at (0.1671, 0.3342, 0.8926).

Its theoretical density is 4.32 g/cm3. The total magnetization is 0.00 μB/atom. The value obtained for the energy of formation from the pure elements is -2.92 eV/f.u.


| no. | energy (eV per atom) |
| --- | --- |
| 1 | -6.0780 |
| 2 | -4.8834 |
| 3 | -4.3413 |
| 4 | -3.9520 |
| 5 | -4.5432 |
| 6 | -3.9161 |
| 7 | -8.2467 |
| 8 | -6.3362 |
| 9 | -3.8954 |
| 10 | -3.4421 |
| 11 | -6.4921 |
| 12 | -5.9686 |
| 13 | -4.5722 |
| 14 | -5.5482 |
| 15 | -6.6071 |
| 16 | -3.2164 |
| 17 | -4.7535 |
| 18 | -3.7487 |
| 19 | -3.9561 |
| 20 | -3.6163 |